Entry 1:
A geometry-optimized Zr2TlNi structure. Source: Alexandria via LeMat-Bulk, functional PBE-GGA.

ΔE_f   6 meV/atom
Crystal system   tetragonal
VASP energy   -6.3048 eV per atom
Space group   I-4m2

a = 5.538 Å, b = 5.538 Å, c = 5.538 Å
α = 136.36°, β = 136.36°, γ = 63.42°
Atoms (fractional coordinates):
Zr: 0.000 0.000 0.000
Zr: 0.250 0.750 0.500
Tl: 0.750 0.250 0.500
Ni: 0.500 0.500 0.000

=====

Entry 2:
A geometry-optimized Np3Tl3CuTe8 structure. Source: Alexandria via LeMat-Bulk, functional PBE-GGA.

Crystal system   monoclinic
VASP energy   -5.4084 eV per atom
Space group   C2/m

a = 8.884 Å, b = 8.619 Å, c = 9.546 Å
α = 115.25°, β = 90.00°, γ = 121.02°
Last column: magnetic moment on the atom in μB.
Atoms (fractional coordinates):
Te: 0.206 0.413 0.685  -0.12
Te: 0.727 0.969 0.711  -0.16
Te: 0.261 0.522 0.283  -0.10
Te: 0.273 0.031 0.289  -0.16
Te: 0.739 0.478 0.717  -0.10
Te: 0.242 0.969 0.711  -0.16
Te: 0.758 0.031 0.289  -0.16
Te: 0.794 0.587 0.315  -0.12
Tl: 0.000 0.000 0.000  -0.02
Tl: 0.000 0.500 0.000  -0.02
Tl: 0.500 0.500 0.000  -0.02
Np: 0.500 0.500 0.500  3.65
Np: 0.500 0.000 0.500  3.61
Np: 0.000 0.500 0.500  3.65
Cu: 0.000 0.000 0.500  -0.10

=====

Entry 3:
A geometry-optimized Sm2Y8Th3 structure. Source: Alexandria via LeMat-Bulk, functional PBE-GGA.

ΔE_f   276 meV/atom
Crystal system   orthorhombic
VASP energy   -6.1405 eV per atom
Space group   Cmmm

a = 5.612 Å, b = 7.891 Å, c = 10.823 Å
α = 111.37°, β = 89.99°, γ = 90.00°
Atoms (fractional coordinates):
Th: 0.000 0.297 0.000
Th: 0.500 0.000 0.000
Th: 0.000 0.703 0.000
Y: 0.000 0.873 0.746
Y: 0.500 0.401 0.211
Y: 0.500 0.810 0.211
Y: 0.000 0.127 0.254
Y: 0.000 0.669 0.337
Y: 0.000 0.331 0.663
Y: 0.500 0.599 0.789
Y: 0.500 0.190 0.789
Sm: 0.500 0.761 0.522
Sm: 0.500 0.239 0.478